This record from Alexandria via LeMat-Bulk describes crystalline Cs2LiPu3F12 at its relaxed geometry. The functional is PBE-GGA.

The structure belongs to space group R-3m (No. 166, hexagonal axes); the cell edges are 8.4856, 8.4856 and 19.4371 Å and the angles 90.00°, 90.00° and 120.00°. The asymmetric unit holds Cs at (0.0000, 0.0000, 0.1528), Li at (0.0000, 0.0000, 0.5000), Pu at (0.0000, 0.5000, 0.0000), F at (0.0802, 0.5401, 0.3720) and F at (0.0924, 0.5462, 0.1072).

The calculated density comes out at 5.07 g cm⁻³. Its volume is 1212.1 Å³/cell. The calculation puts the formation energy from raw total energies at -3.282 eV per atom. The calculation puts the calculated total energy at -384.45 eV for the cell shown.

***

This record from Alexandria via LeMat-Bulk describes crystalline P3RuCl at its relaxed geometry. The functional is PBE-GGA.

The structure belongs to space group Pm-3m (No. 221); the cell edges are 4.3705, 4.3705 and 4.3705 Å and the angles 90.00°, 90.00° and 90.00°. The asymmetric unit holds P at (0.0000, 0.0000, 0.5000), Ru at (0.5000, 0.5000, 0.5000) and Cl at (0.0000, 0.0000, 0.0000).

The calculated density comes out at 4.56 g cm⁻³. Its volume is 83.5 Å³/cell. For the polymorph energy (0 for the lowest one), the calculation gives 1.001 eV/atom. The calculation puts the formation energy from raw total energies at 1.583 eV per atom. The calculation puts the calculated total energy at -19.44 eV for the cell shown.

***

This record from Alexandria via LeMat-Bulk describes crystalline MoP3 at its relaxed geometry. The functional is PBE-GGA.

The structure belongs to space group Cmmm (No. 65); the cell edges are 5.2020, 7.0060 and 3.0415 Å and the angles 90.00°, 90.00° and 90.00°. The asymmetric unit holds Mo at (0.0000, 0.0000, 0.0000), P at (0.0000, 0.5000, 0.0000) and P at (0.2500, 0.2500, 0.5000).

The calculated density comes out at 5.66 g cm⁻³. The calculation puts the formation energy at 0.35 eV/atom. Its volume is 110.8 Å³/cell. For the polymorph energy (0 for the lowest one), the calculation gives 0.596 eV/atom. The calculation puts the calculated total energy at -51.31 eV for the cell shown.